1:
## CeNdZn2 (GGA-PBE)

Data for a relaxed CeNdZn2 crystal.

Calculated values
As for the total magnetization: 1.2 μB per formula unit. As for the density of states at the Fermi level: 9.03 states/eV/cell.

Lattice parameters (Å, degrees): 5.176 5.176 5.176 60.00 60.00 60.00
Fractional coordinates of all 4 atoms:
Ce (0.000, 0.000, 0.000)
Nd (0.500, 0.500, 0.500)
Zn (0.250, 0.250, 0.250)
Zn (0.750, 0.750, 0.750)

2:
## CeNdZn2 (GGA-PBE)

Data for a relaxed CeNdZn2 crystal.

Calculated values
As for the total magnetization: 1.0 μB per formula unit. As for the density of states at the Fermi level: 6.69 states/eV/cell.

Lattice parameters (Å, degrees): 9.635 9.635 9.635 21.38 21.38 21.38
Fractional coordinates of all 4 atoms:
Ce (0.000, 0.000, 0.000)
Nd (0.500, 0.500, 0.500)
Zn (0.250, 0.250, 0.250)
Zn (0.750, 0.750, 0.750)

3:
## CeNdZn2 (GGA-PBE)

Data for a relaxed CeNdZn2 crystal.

Calculated values
As for the total magnetization: 0.7 μB per formula unit. As for the density of states at the Fermi level: 7.63 states/eV/cell.

Lattice parameters (Å, degrees): 3.638 3.638 7.381 90.00 90.00 90.00
Fractional coordinates of all 4 atoms:
Ce (0.000, 0.000, 0.000)
Nd (0.000, 0.000, 0.500)
Zn (0.500, 0.500, 0.246)
Zn (0.500, 0.500, 0.754)

Which structure is most stable? 3, by 0.010 eV/atom over the runner-up.